TbHfAl2 after structural relaxation, computed with PBE.

Results
Final energy in eV per atom: -5.81
V in A^3/atom: 21.21
ΔE_f in eV per atom: -0.2915
Magnetic moment in μB/f.u.: 0.00

a b c (Å): 3.5836 3.5836 6.6052
angles (deg): 90.00 90.00 90.00
Positions (direct):
Tb1 0.0000 0.0000 0.0000
Hf1 0.0000 0.0000 0.5000
Al1 0.5000 0.5000 0.2857
Al2 0.5000 0.5000 0.7143